{"formula": "ErTm6Co2Te2", "functional": "GGA-PBE", "state": "relaxed", "energy_ev_per_atom": -5.334, "rho_g_cm3": 9.41, "crystal_system": "orthorhombic", "m_tot_mub_per_fu": 0.0, "cell": [[3.5429, -7.1231, 4.6847], [-7.6336, 4.1021, 3.1837], [4.9307, -5.7883, -5.2363]], "species": ["Tm", "Er", "Tm", "Tm", "Tm", "Co", "Te", "Tm", "Te", "Co", "Tm"], "fractional_positions": [[0.1296, 0.2645, 0.8651], [0.6828, 0.6828, 0.0000], [0.7449, 0.0588, 0.6862], [0.3994, 0.2645, 0.1349], [0.3726, 0.0588, 0.3138], [0.9909, 0.7536, 0.2373], [0.0199, 0.0199, 0.0000], [0.7622, 0.4109, 0.3513], [0.4163, 0.9163, 0.5000], [0.5163, 0.7536, 0.7627], [0.0596, 0.4109, 0.6487]]}


{"formula": "Er4Tm3Co2Te2", "functional": "GGA-PBE", "state": "relaxed", "energy_ev_per_atom": -5.356, "rho_g_cm3": 9.26, "crystal_system": "orthorhombic", "m_tot_mub_per_fu": 0.0, "cell": [[-1.9030, 7.7419, 4.7134], [1.9030, -7.7419, 4.7134], [1.9030, 7.7419, -4.7134]], "species": ["Tm", "Te", "Er", "Co", "Tm", "Er", "Tm", "Te", "Er", "Er", "Co"], "fractional_positions": [[0.1832, 0.6832, 0.5000], [0.9176, 0.9176, 0.0000], [0.2624, 0.4109, 0.8515], [0.0164, 0.7534, 0.2629], [0.2444, 0.0586, 0.1857], [0.8990, 0.2643, 0.6347], [0.8729, 0.0586, 0.8143], [0.5195, 0.0195, 0.5000], [0.5594, 0.4109, 0.1485], [0.6296, 0.2643, 0.3653], [0.4905, 0.7534, 0.7371]]}


{"formula": "Er3Tm4Co2Te2", "functional": "GGA-PBE", "state": "relaxed", "energy_ev_per_atom": -5.347, "rho_g_cm3": 9.36, "crystal_system": "orthorhombic", "m_tot_mub_per_fu": 0.0, "cell": [[-1.8975, 7.7266, 4.6925], [1.8975, -7.7266, 4.6925], [1.8975, 7.7266, -4.6925]], "species": ["Er", "Tm", "Tm", "Tm", "Te", "Er", "Co", "Tm", "Er", "Te", "Co"], "fractional_positions": [[0.3725, 0.0584, 0.3141], [0.3989, 0.2641, 0.1348], [0.1293, 0.2641, 0.8652], [0.0596, 0.4112, 0.6484], [0.0201, 0.0201, 0.0000], [0.6834, 0.6834, 0.0000], [0.9914, 0.7539, 0.2375], [0.7628, 0.4112, 0.3516], [0.7443, 0.0584, 0.6859], [0.4160, 0.9160, 0.5000], [0.5164, 0.7539, 0.7625]]}


{"formula": "YEr6Co2Te2", "functional": "GGA-PBE", "state": "relaxed", "energy_ev_per_atom": -5.560, "rho_g_cm3": 8.71, "crystal_system": "orthorhombic", "m_tot_mub_per_fu": 0.0, "cell": [[-1.9066, 7.7769, 4.7081], [1.9066, -7.7769, 4.7081], [1.9066, 7.7769, -4.7081]], "species": ["Er", "Co", "Er", "Co", "Er", "Er", "Er", "Y", "Te", "Te", "Er"], "fractional_positions": [[0.7599, 0.8941, 0.8657], [0.1668, 0.4049, 0.7619], [0.0968, 0.7462, 0.3506], [0.6430, 0.4049, 0.2381], [0.7851, 0.0990, 0.6860], [0.3955, 0.7462, 0.6494], [0.0284, 0.8941, 0.1343], [0.4759, 0.4759, 0.0000], [0.1395, 0.1395, 0.0000], [0.7421, 0.2421, 0.5000], [0.4130, 0.0990, 0.3140]]}